## Sb3AsBr (PBE-GGA)

Data for an optimized crystal structure of Sb3AsBr.

Structure (POSCAR):
```
Sb3AsBr
1.0
-2.3397 4.9049 -0.3802
-1.6044 -0.3628 5.1934
4.6507 2.3424 1.6004
Sb Br As
3 1 1
direct
0.0000 0.5000 0.0000
0.5000 0.0000 0.0000
0.0000 0.0000 0.5000
0.5000 0.5000 0.5000
0.0000 0.0000 0.0000
```

Summary:
magnetic moment	0.000	μB/atom
ΔE_f (raw)	0.591	eV/atom
N(E_F)	6.18	states/eV/cell
E above lowest polymorph	0.000	eV/atom